No. 1
{"formula": "Pr12Cu6Hg", "functional": "PBE", "state": "relaxed", "sg": "Im-3", "total_magnetization_mub_per_fu": 0.00, "dft_energy_ev_per_atom": -4.43, "delta_e_f_kcal_per_mol_atoms": -2.38, "cell": [[-3.3609, 7.6697, 2.9848], [-5.9607, -4.0083, -5.2377], [1.9128, -5.2788, 6.8924]], "species": ["Pr", "Pr", "Pr", "Pr", "Pr", "Pr", "Pr", "Pr", "Pr", "Pr", "Pr", "Pr", "Cu", "Cu", "Cu", "Cu", "Cu", "Cu", "Hg"], "fractional_positions": [[0.4862, 0.1879, 0.2983], [0.2983, 0.4862, 0.1879], [0.5138, 0.8121, 0.7017], [0.1879, 0.2983, 0.4862], [0.8121, 0.2983, 0.1104], [0.8896, 0.1879, 0.7017], [0.7017, 0.8896, 0.1879], [0.7017, 0.5138, 0.8121], [0.1879, 0.7017, 0.8896], [0.2983, 0.1104, 0.8121], [0.1104, 0.8121, 0.2983], [0.8121, 0.7017, 0.5138], [0.8794, 0.3794, 0.5000], [0.1206, 0.6206, 0.5000], [0.5000, 0.8794, 0.3794], [0.6206, 0.5000, 0.1206], [0.5000, 0.1206, 0.6206], [0.3794, 0.5000, 0.8794], [0.0000, 0.0000, 0.0000]]}

No. 2
{"formula": "Pr5Cu2Hg2", "functional": "PBE", "state": "relaxed", "sg": "Cmce", "total_magnetization_mub_per_fu": 0.00, "dft_energy_ev_per_atom": -3.85, "delta_e_f_kcal_per_mol_atoms": -5.12, "cell": [[-8.5640, 0.6298, 1.2679], [-1.0116, -5.9407, -3.8820], [1.1772, -1.5865, 8.7396]], "species": ["Pr", "Pr", "Pr", "Pr", "Pr", "Pr", "Pr", "Pr", "Pr", "Pr", "Hg", "Hg", "Hg", "Hg", "Cu", "Cu", "Cu", "Cu"], "fractional_positions": [[0.1817, 0.2057, 0.7410], [0.1817, 0.4647, 0.2590], [0.6817, 0.0353, 0.7410], [0.3183, 0.7057, 0.7410], [0.3183, 0.9647, 0.2590], [0.0000, 0.0000, 0.0000], [0.8183, 0.5353, 0.7410], [0.8183, 0.7943, 0.2590], [0.6817, 0.2943, 0.2590], [0.5000, 0.5000, 0.0000], [0.0000, 0.7861, 0.5723], [0.5000, 0.7139, 0.4277], [0.5000, 0.2861, 0.5723], [0.0000, 0.2139, 0.4277], [0.8890, 0.3857, 0.0000], [0.6110, 0.8857, 0.0000], [0.3890, 0.1143, 0.0000], [0.1110, 0.6143, 0.0000]]}

No. 3
{"formula": "Pr6CuHg2", "functional": "PBE", "state": "relaxed", "sg": "P2_1/c", "total_magnetization_mub_per_fu": 0.00, "dft_energy_ev_per_atom": -3.86, "delta_e_f_kcal_per_mol_atoms": -3.48, "cell": [[-3.8414, -5.0725, -0.9936], [5.6414, -4.9342, 3.3791], [-4.4839, 1.4170, 9.5549]], "species": ["Pr", "Pr", "Pr", "Pr", "Pr", "Pr", "Pr", "Pr", "Pr", "Pr", "Pr", "Pr", "Hg", "Hg", "Hg", "Hg", "Cu", "Cu"], "fractional_positions": [[0.8703, 0.7074, 0.9494], [0.6444, 0.1588, 0.9554], [0.8556, 0.6588, 0.5446], [0.3626, 0.5426, 0.7426], [0.3556, 0.8412, 0.0446], [0.6374, 0.4574, 0.2574], [0.8626, 0.9574, 0.2426], [0.1444, 0.3412, 0.4554], [0.3703, 0.7926, 0.4494], [0.1374, 0.0426, 0.7574], [0.1297, 0.2926, 0.0506], [0.6297, 0.2074, 0.5506], [0.3995, 0.1098, 0.2654], [0.1006, 0.6098, 0.2346], [0.6006, 0.8902, 0.7346], [0.8994, 0.3902, 0.7654], [0.0000, 0.0000, 0.5000], [0.5000, 0.5000, 0.0000]]}